1.
Material: Np4Ta3WC8
Method: DFT, PBE
State: relaxed

## Properties
DFT total energy (eV per atom): -11.171
Formation enthalpy at 0 K (eV per atom): -0.29
Size of the total moment (μB per cell): 27.80

a b c (Å): 6.4773 6.4773 16.7732
angles (deg): 90.00 90.00 120.00
Closest atoms and distances in Å follow each position.
Space group R-3m (No. 166, hexagonal axes)
Symmetry-distinct sites (fractional):
Np1 0.0000 0.0000 0.0000  6 C 2.44
Np2 0.0000 0.5000 0.0000  6 C 2.42
Ta1 0.0000 0.5000 0.5000  6 C 2.25-2.26
W1 0.0000 0.0000 0.5000  6 C 2.23
C1 0.0000 0.0000 0.2414  3 Ta 2.25, 3 Np 2.42
C2 0.0035 0.5017 0.2413  1 W 2.23, 2 Ta 2.26, 3 Np 2.42-2.44



2.
Material: Be2MoHSe
Method: DFT, PBE
State: relaxed

## Properties
DFT total energy (eV per atom): -4.015
Size of the total moment (μB per cell): 0.00

a b c (Å): 4.4586 4.4586 3.4633
angles (deg): 90.00 90.00 90.00
Closest atoms and distances in Å follow each position.
Space group P4/mmm (No. 123)
Symmetry-distinct sites (fractional):
Be1 0.0000 0.5000 0.0000  2 Mo 2.23
Mo1 0.0000 0.0000 0.0000  2 H 1.73
H1 0.0000 0.0000 0.5000  2 Mo 1.73
Se1 0.5000 0.5000 0.5000  8 Be 2.82, 4 H 3.15



3.
Material: CeMgNi6
Method: DFT, PBE
State: relaxed

## Properties
DFT total energy (eV per atom): -5.332
Formation enthalpy at 0 K (eV per atom): -0.05
Size of the total moment (μB per cell): 0.00

a b c (Å): 4.7689 4.7689 4.7689
angles (deg): 90.00 90.00 90.00
Closest atoms and distances in Å follow each position.
Space group Pm-3 (No. 200)
Symmetry-distinct sites (fractional):
Ce1 0.0000 0.0000 0.0000  12 Ni 2.68
Mg1 0.5000 0.5000 0.5000  12 Ni 2.66
Ni1 0.0000 0.5000 0.2544  2 Ni 2.34-2.43



4.
Material: NpBe2TlF8
Method: DFT, PBE
State: relaxed

## Properties
Raw formation energy (eV/atom): -3.067
DFT total energy (eV per atom): -6.211
Size of the total moment (μB per cell): 12.00

a b c (Å): 5.1986 5.1986 24.3061
angles (deg): 90.00 90.00 120.00
Closest atoms and distances in Å follow each position.
Space group R-3 (No. 148, hexagonal axes)
Symmetry-distinct sites (fractional):
Np1 0.0000 0.0000 0.0000  6 F 2.32
Be1 0.0000 0.0000 0.2510  4 F 1.49-1.60
Tl1 0.0000 0.0000 0.5000  12 F 3.05-3.28
F1 0.0000 0.0000 0.1897  1 Be 1.49
F2 0.0049 0.2849 0.7233  1 Be 1.60



5.
Material: TcSbIr2
Method: DFT, PBE
State: relaxed

## Properties
Raw formation energy (eV/atom): 0.266
DFT total energy (eV per atom): -7.787
Size of the total moment (μB per cell): 0.00

a b c (Å): 2.9397 2.9397 7.5044
angles (deg): 90.00 90.00 90.00
Closest atoms and distances in Å follow each position.
Space group P4mm (No. 99)
Symmetry-distinct sites (fractional):
Tc1 0.0000 0.0000 0.0000  4 Ir 2.65, 4 Sb 2.91, 4 Tc 2.94
Sb1 0.5000 0.5000 0.7293  4 Ir 2.78, 4 Tc 2.91, 4 Sb 2.94
Ir1 0.0000 0.0000 0.4825  4 Sb 2.78, 8 Ir 2.87-2.94
Ir2 0.5000 0.5000 0.2187  4 Tc 2.65, 8 Ir 2.87-2.94



6.
Material: TcGe2Ir
Method: DFT, PBE
State: relaxed

## Properties
DFT total energy (eV per atom): -6.843
Formation enthalpy at 0 K (eV per atom): 0.27
Energy above the most stable polymorph in this dataset (meV/atom): 426
Size of the total moment (μB per cell): 2.72

a b c (Å): 2.9036 2.9036 26.8947
angles (deg): 90.00 90.00 120.00
Closest atoms and distances in Å follow each position.
Space group R-3m (No. 166, hexagonal axes)
Symmetry-distinct sites (fractional):
Tc1 0.0000 0.0000 0.0000  2 Ge 2.50
Ge1 0.0000 0.0000 0.0929  1 Tc 2.50, 3 Ir 2.60
Ir1 0.0000 0.0000 0.5000  6 Ge 2.60, 6 Ir 2.90



7.
Material: Re3Tc4Ir2
Method: DFT, PBE
State: relaxed

## Properties
DFT total energy (eV per atom): -10.709
Formation enthalpy at 0 K (eV per atom): 0.02
Size of the total moment (μB per cell): 0.00

a b c (Å): 5.1480 6.5413 8.8426
angles (deg): 103.40 102.43 103.64
Closest atoms and distances in Å follow each position.
Space group P-1 (No. 2)
Symmetry-distinct sites (fractional):
Re1 0.1196 0.4170 0.3868  3 Ir 2.66-2.75, 3 Re 2.69-2.76, 6 Tc 2.69-2.81
Re2 0.1482 0.0470 0.1734  3 Re 2.63-2.76, 5 Tc 2.70-2.92, 2 Ir 2.80-2.81
Re3 0.1958 0.7395 0.9244  2 Ir 2.52-2.79, 3 Tc 2.56-2.80, 3 Re 2.63-2.71
Tc1 0.0206 0.8127 0.4050  4 Ir 2.61-2.73, 5 Tc 2.71-2.86, 3 Re 2.73-2.92
Tc2 0.2777 0.3330 0.9318  4 Tc 2.59-2.88, 2 Re 2.71-2.80, 3 Ir 2.74-2.85
Tc3 0.3237 0.9770 0.7289  4 Re 2.66-2.81, 4 Tc 2.68-2.77, 3 Ir 2.71-2.81
Tc4 0.4213 0.5769 0.7134  5 Re 2.56-2.78, 3 Ir 2.63-2.80, 2 Tc 2.76-2.79
Ir1 0.2497 0.6477 0.1885  4 Re 2.52-2.81, 5 Tc 2.61-2.74, 1 Ir 2.66
Ir2 0.4480 0.1958 0.5027  2 Ir 2.66-2.73, 3 Re 2.66-2.80, 7 Tc 2.70-2.81



8.
Material: KNpMoN4
Method: DFT, PBE
State: relaxed

## Properties
Raw formation energy (eV/atom): -0.487
DFT total energy (eV per atom): -8.797
Size of the total moment (μB per cell): 4.00

a b c (Å): 5.9168 5.8578 8.1488
angles (deg): 90.00 110.64 90.00
Closest atoms and distances in Å follow each position.
Space group P2_1/m (No. 11)
Symmetry-distinct sites (fractional):
K1 0.1010 0.2500 0.1350  4 N 2.75-2.88
Np1 0.2882 0.7500 0.4598  6 N 2.16-2.40
Mo1 0.2677 0.2500 0.6649  4 N 1.82-1.90
N1 0.0276 0.2500 0.4503  1 Mo 1.82
N2 0.0316 0.2500 0.7742  1 Mo 1.90
N3 0.4814 0.0091 0.6617  1 Mo 1.90